## SmThBi2 (GGA-PBE)

Data for a relaxed structure of SmThBi2.

Cell: 4.5878 4.5878 7.9000 Å, 73.17 73.17 59.94°
Positions (direct):
Bi 0.2511 0.2511 0.2468
Bi 0.7489 0.7489 0.7532
Th 0.5000 0.5000 0.5000
Sm 0.0000 0.0000 0.0000

Results
The energy above the most stable polymorph in this dataset comes out at 0.004 eV per atom. The calculation puts the calculated total energy at -5.727 eV per atom. For the total magnetization, the calculation gives 0.000 μB/atom. The calculation puts the volume at 33.91 Å³ per atom.


## Sb2MoW (GGA-PBE)

Data for a relaxed structure of Sb2MoW.

Cell: 5.0637 5.0637 5.0637 Å, 128.78 128.78 75.37°
Positions (direct):
Sb 0.0000 0.0000 0.0000
Sb 0.2500 0.7500 0.5000
W 0.5000 0.5000 0.0000
Mo 0.7500 0.2500 0.5000

Results
The energy above the most stable polymorph in this dataset comes out at 0.515 eV per atom. The calculation puts the calculated total energy at -7.322 eV per atom. The calculation puts the formation energy (no corrections) at 0.69 eV per atom. For the total magnetization, the calculation gives 0.000 μB/atom. The calculation puts the volume at 19.20 Å³ per atom.


## Hf3ScGa (GGA-PBE)

Data for a relaxed structure of Hf3ScGa.

Cell: 4.9724 4.9724 4.9724 Å, 90.00 90.00 90.00°
Positions (direct):
Hf 0.0000 0.5000 0.0000
Hf 0.0000 0.0000 0.5000
Hf 0.5000 0.0000 0.0000
Sc 0.0000 0.0000 0.0000
Ga 0.5000 0.5000 0.5000

Results
The energy above the most stable polymorph in this dataset comes out at 0.769 eV per atom. The calculation puts the calculated total energy at -6.559 eV per atom. For the total magnetization, the calculation gives 0.000 μB/atom. The calculation puts the volume at 24.59 Å³ per atom.


## CuNCl3 (GGA-PBE)

Data for a relaxed structure of CuNCl3.

Cell: 10.4272 14.0713 4.6748 Å, 136.19 122.01 35.01°
Site moments in Bohr magnetons follow the coordinates.
Positions (direct):
Cl 0.6555 0.5086 0.3572  0.04
Cl 0.9081 0.8872 0.4264  0.12
Cl 0.2275 0.2792 0.6582  0.02
Cl 0.4600 0.4126 0.6281  0.12
Cl 0.1407 0.0206 0.3963  0.02
Cl 0.7126 0.7912 0.6972  0.04
Cu 0.9854 0.2658 0.4188  0.10
Cu 0.3828 0.0340 0.6357  0.10
N 0.5153 0.4402 0.0769  0.45
N 0.8528 0.8596 0.9776  0.45

Results
The energy above the most stable polymorph in this dataset comes out at 0.027 eV per atom. The calculation puts the calculated total energy at -3.285 eV per atom. The calculation puts the formation energy (no corrections) at 0.31 eV per atom. For the total magnetization, the calculation gives 0.197 μB/atom. The calculation puts the volume at 26.92 Å³ per atom.


## Rb2HfCuF (GGA-PBE)

Data for a relaxed structure of Rb2HfCuF.

Cell: 7.2831 4.1234 7.2831 Å, 90.00 90.00 90.00°
Site moments in Bohr magnetons follow the coordinates.
Positions (direct):
Rb 0.0000 0.0000 0.5000  0.02
Rb 0.5000 0.0000 0.0000  0.03
Hf 0.0000 0.0000 0.0000  1.02
Cu 0.5000 0.5000 0.5000  0.00
F 0.0000 0.5000 0.0000  -0.01

Results
The calculation puts the calculated total energy at -3.517 eV per atom. The calculation puts the formation energy (no corrections) at 0.05 eV per atom. For the total magnetization, the calculation gives 0.371 μB/atom. The calculation puts the volume at 43.74 Å³ per atom.


## Pm4In5Si2 (GGA-PBE)

Data for a relaxed structure of Pm4In5Si2.

Cell: 4.2604 7.6413 8.8584 Å, 93.25 90.00 90.00°
Positions (direct):
Pm 0.5000 0.2275 0.4131
Pm 0.5000 0.7725 0.5869
Pm 0.5000 0.2031 0.8544
Pm 0.5000 0.7969 0.1456
In 0.0000 0.8611 0.8668
In 0.0000 0.1389 0.1332
In 0.0000 0.4503 0.6613
In 0.0000 0.5000 0.0000
In 0.0000 0.5497 0.3387
Si 0.0000 0.0772 0.6216
Si 0.0000 0.9228 0.3784

Results
The calculation puts the calculated total energy at -4.476 eV per atom. The calculation puts the formation energy (no corrections) at -0.52 eV per atom. For the total magnetization, the calculation gives 0.000 μB/atom. The calculation puts the volume at 26.17 Å³ per atom.


## Sn2Pd5Rh (GGA-PBE)

Data for a relaxed structure of Sn2Pd5Rh.

Cell: 3.9904 5.7183 11.4321 Å, 90.00 90.00 90.00°
Positions (direct):
Pd 0.0000 0.4907 0.7493
Pd 0.5000 0.2542 0.3739
Pd 0.0000 0.5000 0.5000
Pd 0.0000 0.0000 0.0000
Pd 0.5000 0.7458 0.6261
Pd 0.0000 0.0093 0.2493
Pd 0.5000 0.2458 0.8739
Pd 0.5000 0.7542 0.1261
Pd 0.0000 0.9907 0.7507
Pd 0.0000 0.5093 0.2507
Sn 0.5000 0.7411 0.8781
Sn 0.5000 0.2589 0.1219
Sn 0.5000 0.2411 0.6219
Sn 0.5000 0.7589 0.3781
Rh 0.0000 0.5000 0.0000
Rh 0.0000 0.0000 0.5000

Results
The calculation puts the calculated total energy at -5.598 eV per atom. For the total magnetization, the calculation gives 0.000 μB/atom. The calculation puts the volume at 16.30 Å³ per atom.


## PmUBr6 (GGA-PBE)

Data for a relaxed structure of PmUBr6.

Cell: 7.4993 7.4993 7.1966 Å, 97.93 97.93 122.60°
Site moments in Bohr magnetons follow the coordinates.
Positions (direct):
U 0.5000 0.5000 0.5000  2.88
Pm 0.0000 0.0000 0.0000  0.03
Br 0.7522 0.7522 0.2509  -0.01
Br 0.1001 0.3981 0.2479  -0.01
Br 0.3981 0.1001 0.2479  -0.01
Br 0.6019 0.8999 0.7521  -0.01
Br 0.8999 0.6019 0.7521  -0.01
Br 0.2478 0.2478 0.7491  -0.01

Results
The energy above the most stable polymorph in this dataset comes out at 0.000 eV per atom. The calculation puts the calculated total energy at -4.800 eV per atom. The calculation puts the formation energy (no corrections) at -1.54 eV per atom. For the total magnetization, the calculation gives 0.375 μB/atom. The calculation puts the volume at 40.83 Å³ per atom.


- Which of these has the lowest calculated total energy?
  Sb2MoW